Record 1
HfP2O7: relaxed, PBEsol.

Crystal system: triclinic
Raw formation energy: -2695.9 meV per atom

```
data_HfP2O7
_chemical_formula_sum 'Hf2 P4 O14'
_cell_length_a 5.040
_cell_length_b 7.119
_cell_length_c 8.448
_cell_angle_alpha 91.71
_cell_angle_beta 94.27
_cell_angle_gamma 105.46
_symmetry_space_group_name_H-M 'P -1'
_symmetry_Int_Tables_number 2
loop_
_symmetry_equiv_pos_as_xyz
'x,y,z'
'-x,-y,-z'
loop_
_atom_site_label
_atom_site_type_symbol
_atom_site_fract_x
_atom_site_fract_y
_atom_site_fract_z
Hf1 Hf 0.000 0.000 0.000
Hf2 Hf 0.500 0.500 0.500
P1 P 0.003 0.366 0.740
P2 P 0.374 0.749 0.811
O1 O 0.083 0.807 0.158
O2 O 0.173 0.329 0.605
O3 O 0.189 0.883 0.829
O4 O 0.202 0.535 0.859
O5 O 0.241 0.561 0.322
O6 O 0.370 0.195 0.072
O7 O 0.446 0.726 0.640
```


Record 2
Hf2PO: relaxed, PBEsol.

Crystal system: cubic
Raw formation energy: -1288.7 meV per atom

```
data_Hf2PO
_chemical_formula_sum 'Hf8 P4 O4'
_cell_length_a 6.076
_cell_length_b 6.076
_cell_length_c 6.076
_cell_angle_alpha 90.00
_cell_angle_beta 90.00
_cell_angle_gamma 90.00
_symmetry_space_group_name_H-M 'F m -3 m'
_symmetry_Int_Tables_number 225
_symmetry_space_group_name_Hall '-F 4 2 3'
loop_
_atom_site_label
_atom_site_type_symbol
_atom_site_fract_x
_atom_site_fract_y
_atom_site_fract_z
Hf1 Hf 0.250 0.250 0.250
P1 P 0.000 0.000 0.000
O1 O 0.000 0.000 0.500
```


Q: Which of these has the highest raw formation energy?
A: Hf2PO


Q: Which value of raw formation energy does entry 2 give?
A: -1288.7 meV per atom